Entry 1:
# meta-GGA SCAN CsP2PbS, single point on PBEsol structure
data_CsP2PbS
_chemical_formula_sum 'Cs1 P2 Pb1 S1'
_cell_length_a 5.276
_cell_length_b 5.276
_cell_length_c 5.275
_cell_angle_alpha 90.00
_cell_angle_beta 90.00
_cell_angle_gamma 90.00
_symmetry_space_group_name_H-M 'P 1'
_symmetry_Int_Tables_number 1
loop_
_symmetry_equiv_pos_as_xyz
'x,y,z'
loop_
_atom_site_label
_atom_site_type_symbol
_atom_site_fract_x
_atom_site_fract_y
_atom_site_fract_z
Cs1 Cs 0.000 0.000 0.000
P1 P 0.000 0.500 0.000
P2 P 0.500 0.000 0.000
Pb1 Pb 0.500 0.500 0.500
S1 S 0.000 0.000 0.500
# energy relative to the elements, uncorrected	1.60	eV/atom

Entry 2:
# meta-GGA SCAN Cs2PPd, single point on PBEsol structure
data_Cs2PPd
_chemical_formula_sum 'Cs4 P2 Pd2'
_cell_length_a 9.177
_cell_length_b 9.177
_cell_length_c 9.177
_cell_angle_alpha 93.39
_cell_angle_beta 93.39
_cell_angle_gamma 151.87
_symmetry_space_group_name_H-M 'P 1'
_symmetry_Int_Tables_number 1
loop_
_symmetry_equiv_pos_as_xyz
'x,y,z'
loop_
_atom_site_label
_atom_site_type_symbol
_atom_site_fract_x
_atom_site_fract_y
_atom_site_fract_z
Cs1 Cs 0.375 0.206 0.331
Cs2 Cs 0.794 0.125 0.169
Cs3 Cs 0.875 0.044 0.669
Cs4 Cs 0.956 0.625 0.831
P1 P 0.250 0.750 0.500
P2 P 0.500 0.500 0.000
Pd1 Pd 0.000 0.000 0.000
Pd2 Pd 0.750 0.250 0.500
# energy relative to the elements	-1.4	eV/f.u.

Entry 3:
# meta-GGA SCAN Cs10P4PdSe16, single point on PBEsol structure
data_Cs10P4PdSe16
_chemical_formula_sum 'Cs20 P8 Pd2 Se32'
_cell_length_a 13.797
_cell_length_b 13.797
_cell_length_c 11.452
_cell_angle_alpha 90.00
_cell_angle_beta 90.00
_cell_angle_gamma 90.00
_symmetry_space_group_name_H-M 'P 1'
_symmetry_Int_Tables_number 1
loop_
_symmetry_equiv_pos_as_xyz
'x,y,z'
loop_
_atom_site_label
_atom_site_type_symbol
_atom_site_fract_x
_atom_site_fract_y
_atom_site_fract_z
Cs1 Cs 0.000 0.151 0.000
Cs2 Cs 0.000 0.500 0.296
Cs3 Cs 0.000 0.500 0.704
Cs4 Cs 0.000 0.849 0.000
Cs5 Cs 0.151 0.000 0.500
Cs6 Cs 0.244 0.244 0.250
Cs7 Cs 0.244 0.244 0.750
Cs8 Cs 0.244 0.756 0.250
Cs9 Cs 0.244 0.756 0.750
Cs10 Cs 0.338 0.500 0.500
Cs11 Cs 0.500 0.000 0.204
Cs12 Cs 0.500 0.000 0.796
Cs13 Cs 0.500 0.338 0.000
Cs14 Cs 0.500 0.662 0.000
Cs15 Cs 0.662 0.500 0.500
Cs16 Cs 0.756 0.244 0.250
Cs17 Cs 0.756 0.244 0.750
Cs18 Cs 0.756 0.756 0.250
Cs19 Cs 0.756 0.756 0.750
Cs20 Cs 0.849 0.000 0.500
P1 P 0.000 0.258 0.500
P2 P 0.000 0.742 0.500
P3 P 0.243 0.500 0.000
P4 P 0.258 0.000 0.000
P5 P 0.500 0.243 0.500
P6 P 0.500 0.757 0.500
P7 P 0.742 0.000 0.000
P8 P 0.757 0.500 0.000
Pd1 Pd 0.000 0.500 0.000
Pd2 Pd 0.500 0.000 0.500
Se1 Se 0.000 0.167 0.341
Se2 Se 0.000 0.167 0.659
Se3 Se 0.000 0.833 0.341
Se4 Se 0.000 0.833 0.659
Se5 Se 0.130 0.381 0.000
Se6 Se 0.130 0.619 0.000
Se7 Se 0.131 0.352 0.500
Se8 Se 0.131 0.648 0.500
Se9 Se 0.167 0.000 0.159
Se10 Se 0.167 0.000 0.841
Se11 Se 0.331 0.500 0.158
Se12 Se 0.331 0.500 0.842
Se13 Se 0.352 0.131 0.000
Se14 Se 0.352 0.869 0.000
Se15 Se 0.381 0.130 0.500
Se16 Se 0.381 0.870 0.500
Se17 Se 0.500 0.331 0.342
Se18 Se 0.500 0.331 0.658
Se19 Se 0.500 0.669 0.342
Se20 Se 0.500 0.669 0.658
Se21 Se 0.619 0.130 0.500
Se22 Se 0.619 0.870 0.500
Se23 Se 0.648 0.131 0.000
Se24 Se 0.648 0.869 0.000
Se25 Se 0.669 0.500 0.158
Se26 Se 0.669 0.500 0.842
Se27 Se 0.833 0.000 0.159
Se28 Se 0.833 0.000 0.841
Se29 Se 0.869 0.352 0.500
Se30 Se 0.869 0.648 0.500
Se31 Se 0.870 0.381 0.000
Se32 Se 0.870 0.619 0.000
# energy relative to the elements, uncorrected	-0.99	eV/atom